Below is Mg3AlF after structural relaxation, with properties calculated at the PBE level.

Unit cell a=5.1779 b=5.1779 c=5.1779 alpha=90.00 beta=90.00 gamma=90.00
Closest atoms and distances in Å follow each position.
Space group Pm-3m (No. 221)
One atom of each set of equivalent atoms:
Mg: 0.0000 0.0000 0.5000  2 Al 2.59
Al: 0.0000 0.0000 0.0000  6 Mg 2.59
F: 0.5000 0.5000 0.5000  12 Mg 3.66

Results
energy relative to the lowest polymorph listed for this composition	536	meV/atom
M_tot	0.000	μB per formula unit
raw formation energy	-193	meV per atom

***

Below is MgAlF2 after structural relaxation, with properties calculated at the PBE level.

Unit cell a=3.9760 b=3.9760 c=14.7352 alpha=90.00 beta=90.00 gamma=120.00
Closest atoms and distances in Å follow each position.
Space group R-3m (No. 166, hexagonal axes)
One atom of each set of equivalent atoms:
Mg: 0.0000 0.0000 0.0000  2 F 1.92
Al: 0.0000 0.0000 0.5000  6 F 2.36
F: 0.0000 0.0000 0.1302  1 Mg 1.92

Results
energy relative to the lowest polymorph listed for this composition	708	meV/atom
M_tot	0.000	μB per formula unit
raw formation energy	-1617	meV per atom